The following is a GGA-PBEsol calculation of a relaxed HgAuBr crystal, from Alexandria.

Cell: 4.771 4.771 4.771 Å, 60.00 60.00 60.00°
Element x y z (fractional)
Hg 0.000 0.000 0.000
Au 0.500 0.500 0.500
Br 0.250 0.250 0.250

Properties
Symmetry: F-43m, No. 216
VASP energy, eV/f.u.: -4.91
ΔE_f (raw), eV/atom: 0.482

=====

The following is a GGA-PBEsol calculation of a relaxed K2HgAuBr6 crystal, from Alexandria.

Cell: 7.624 7.624 7.624 Å, 60.00 60.00 60.00°
Element x y z (fractional)
K 0.250 0.250 0.250
K 0.750 0.750 0.750
Hg 0.000 0.000 0.000
Au 0.500 0.500 0.500
Br 0.255 0.255 0.745
Br 0.255 0.745 0.255
Br 0.255 0.745 0.745
Br 0.745 0.255 0.255
Br 0.745 0.255 0.745
Br 0.745 0.745 0.255

Properties
Symmetry: Fm-3m, No. 225
VASP energy, eV/f.u.: -26.11
ΔE_f (raw), eV/atom: -0.813

=====

The following is a GGA-PBEsol calculation of a relaxed Rb2HgAuBr6 crystal, from Alexandria.

Cell: 7.649 7.649 7.649 Å, 60.00 60.00 60.00°
Element x y z (fractional)
Rb 0.250 0.250 0.250
Rb 0.750 0.750 0.750
Hg 0.000 0.000 0.000
Au 0.500 0.500 0.500
Br 0.256 0.256 0.744
Br 0.256 0.744 0.256
Br 0.256 0.744 0.744
Br 0.744 0.256 0.256
Br 0.744 0.256 0.744
Br 0.744 0.744 0.256

Properties
Symmetry: Fm-3m, No. 225
VASP energy, eV/f.u.: -26.28
ΔE_f (raw), eV/atom: -0.852

=====

The following is a GGA-PBEsol calculation of a relaxed AuIBrO2 crystal, from Alexandria.

Cell: 3.997 3.997 7.058 Å, 90.00 90.00 90.00°
Element x y z (fractional)
Au 0.000 0.000 0.000
I 0.000 0.000 0.500
Br 0.500 0.500 0.500
O 0.000 0.500 0.000
O 0.500 0.000 0.000

Properties
Symmetry: P4/mmm, No. 123
VASP energy, eV/f.u.: -15.68
ΔE_f (raw), eV/atom: 0.476

=====

The following is a GGA-PBEsol calculation of a relaxed Y2AuIBr crystal, from Alexandria.

Cell: 5.239 5.239 6.030 Å, 90.00 90.00 90.00°
Element x y z (fractional)
Y 0.000 0.500 0.000
Y 0.500 0.000 0.000
Au 0.000 0.000 0.500
I 0.500 0.500 0.500
Br 0.500 0.500 0.000

Properties
Symmetry: P4/mmm, No. 123
VASP energy, eV/f.u.: -20.47
ΔE_f (raw), eV/atom: 0.148

=====

The following is a GGA-PBEsol calculation of a relaxed InAu2Br crystal, from Alexandria.

Cell: 5.018 5.018 3.548 Å, 90.00 90.00 112.52°
Element x y z (fractional)
In 0.000 0.000 0.000
Au 0.000 0.500 0.500
Au 0.500 0.000 0.500
Br 0.500 0.500 0.000

Properties
Symmetry: Cmmm, No. 65
VASP energy, eV/f.u.: -12.17
ΔE_f (raw), eV/atom: 0.133

=====

The following is a GGA-PBEsol calculation of a relaxed InAuBr3 crystal, from Alexandria.

Cell: 5.315 5.315 5.315 Å, 90.00 90.00 90.00°
Element x y z (fractional)
In 0.000 0.000 0.000
Au 0.500 0.500 0.500
Br 0.000 0.000 0.500
Br 0.000 0.500 0.000
Br 0.500 0.000 0.000

Properties
Symmetry: Pm-3m, No. 221
VASP energy, eV/f.u.: -12.12
ΔE_f (raw), eV/atom: 0.080

=====

The following is a GGA-PBEsol calculation of a relaxed In3AuBr crystal, from Alexandria.

Cell: 5.306 5.306 5.306 Å, 90.00 90.00 90.00°
Element x y z (fractional)
In 0.000 0.000 0.500
In 0.000 0.500 0.000
In 0.500 0.000 0.000
Au 0.000 0.000 0.000
Br 0.500 0.500 0.500

Properties
Symmetry: Pm-3m, No. 221
VASP energy, eV/f.u.: -15.67
ΔE_f (raw), eV/atom: -0.186

=====

The following is a GGA-PBEsol calculation of a relaxed IrAu2Br crystal, from Alexandria.

Cell: 4.986 4.986 3.401 Å, 90.00 90.00 116.71°
Element x y z (fractional)
Ir 0.000 0.000 0.000
Au 0.236 0.764 0.500
Au 0.764 0.236 0.500
Br 0.500 0.500 0.000

Properties
Symmetry: Cmmm, No. 65
Polymorph energy (0 for the lowest one), meV/atom: 92
VASP energy, eV/f.u.: -16.98
ΔE_f (raw), eV/atom: 0.639

=====

The following is a GGA-PBEsol calculation of a relaxed IrAu2Br crystal, from Alexandria.

Cell: 6.481 6.481 6.481 Å, 154.77 140.19 47.71°
Element x y z (fractional)
Ir 0.000 0.000 0.000
Au 0.203 0.703 0.500
Au 0.797 0.297 0.500
Br 0.500 0.500 0.000

Properties
Symmetry: Immm, No. 71
Polymorph energy (0 for the lowest one), meV/atom: 40
VASP energy, eV/f.u.: -17.19
ΔE_f (raw), eV/atom: 0.587

=====

The following is a GGA-PBEsol calculation of a relaxed IrAu2Br crystal, from Alexandria.

Cell: 2.872 2.872 10.049 Å, 90.00 90.00 121.47°
Element x y z (fractional)
Ir 0.000 0.000 0.000
Au 0.500 0.500 0.232
Au 0.500 0.500 0.768
Br 0.000 0.000 0.500

Properties
Symmetry: Cmmm, No. 65
Polymorph energy (0 for the lowest one), meV/atom: 0
VASP energy, eV/f.u.: -17.35
ΔE_f (raw), eV/atom: 0.547

=====

The following is a GGA-PBEsol calculation of a relaxed IrAu2Br crystal, from Alexandria.

Cell: 2.736 2.736 10.541 Å, 90.00 90.00 90.00°
Element x y z (fractional)
Ir 0.000 0.000 0.000
Au 0.500 0.500 0.195
Au 0.500 0.500 0.805
Br 0.000 0.000 0.500

Properties
Symmetry: P4/mmm, No. 123
Polymorph energy (0 for the lowest one), meV/atom: 33
VASP energy, eV/f.u.: -17.22
ΔE_f (raw), eV/atom: 0.580

=====

The following is a GGA-PBEsol calculation of a relaxed IrAuSe2Br crystal, from Alexandria.

Cell: 4.968 4.968 4.903 Å, 90.00 90.00 90.00°
Element x y z (fractional)
Ir 0.000 0.000 0.000
Au 0.500 0.500 0.500
Se 0.000 0.500 0.500
Se 0.500 0.000 0.500
Br 0.500 0.500 0.000

Properties
Symmetry: P4/mmm, No. 123
VASP energy, eV/f.u.: -15.90
ΔE_f (raw), eV/atom: 1.484

=====

The following is a GGA-PBEsol calculation of a relaxed K2AuBr crystal, from Alexandria.

Cell: 5.540 5.540 5.540 Å, 60.00 60.00 60.00°
Element x y z (fractional)
K 0.250 0.250 0.250
K 0.750 0.750 0.750
Au 0.000 0.000 0.000
Br 0.500 0.500 0.500

Properties
Symmetry: Fm-3m, No. 225
Polymorph energy (0 for the lowest one), meV/atom: 13
VASP energy, eV/f.u.: -11.52
ΔE_f (raw), eV/atom: -0.864

=====

The following is a GGA-PBEsol calculation of a relaxed KAuBr3 crystal, from Alexandria.

Cell: 5.286 5.286 5.286 Å, 90.00 90.00 90.00°
Element x y z (fractional)
K 0.000 0.000 0.000
Au 0.500 0.500 0.500
Br 0.000 0.500 0.500
Br 0.500 0.000 0.500
Br 0.500 0.500 0.000

Properties
Symmetry: Pm-3m, No. 221
VASP energy, eV/f.u.: -14.49
ΔE_f (raw), eV/atom: -0.765

=====

The following is a GGA-PBEsol calculation of a relaxed K2AuBr crystal, from Alexandria.

Cell: 8.488 8.488 8.488 Å, 151.71 151.33 40.72°
Element x y z (fractional)
K 0.000 0.000 0.000
K 0.745 0.245 0.500
Au 0.339 0.839 0.500
Br 0.587 0.587 0.000

Properties
Symmetry: Imm2, No. 44
Polymorph energy (0 for the lowest one), meV/atom: 34
VASP energy, eV/f.u.: -11.43
ΔE_f (raw), eV/atom: -0.842

=====

The following is a GGA-PBEsol calculation of a relaxed K2AuBr crystal, from Alexandria.

Cell: 5.552 5.552 3.866 Å, 90.00 90.00 90.00°
Element x y z (fractional)
K 0.000 0.500 0.000
K 0.500 0.000 0.000
Au 0.000 0.000 0.500
Br 0.500 0.500 0.500

Properties
Symmetry: P4/mmm, No. 123
Polymorph energy (0 for the lowest one), meV/atom: 0
VASP energy, eV/f.u.: -11.57
ΔE_f (raw), eV/atom: -0.877

=====

The following is a GGA-PBEsol calculation of a relaxed K2AuBr crystal, from Alexandria.

Cell: 8.135 8.135 8.135 Å, 32.90 32.90 32.90°
Element x y z (fractional)
K 0.248 0.248 0.248
K 0.752 0.752 0.752
Au 0.000 0.000 0.000
Br 0.500 0.500 0.500

Properties
Symmetry: R-3m, No. 166
Polymorph energy (0 for the lowest one), meV/atom: 2
VASP energy, eV/f.u.: -11.56
ΔE_f (raw), eV/atom: -0.874

=====

The following is a GGA-PBEsol calculation of a relaxed K2AuBr crystal, from Alexandria.

Cell: 6.379 6.379 5.222 Å, 90.05 90.05 37.25°
Element x y z (fractional)
K 0.000 0.000 0.000
K 0.239 0.239 0.502
Au 0.508 0.508 0.500
Br 0.730 0.730 0.002

Properties
Symmetry: Cm, No. 8
Polymorph energy (0 for the lowest one), meV/atom: 16
VASP energy, eV/f.u.: -11.50
ΔE_f (raw), eV/atom: -0.861

=====

The following is a GGA-PBEsol calculation of a relaxed K2SbAuBr6 crystal, from Alexandria.

Cell: 7.760 7.760 7.760 Å, 60.00 60.00 60.00°
Element x y z (fractional)
K 0.250 0.250 0.250
K 0.750 0.750 0.750
Sb 0.000 0.000 0.000
Au 0.500 0.500 0.500
Br 0.253 0.253 0.747
Br 0.253 0.747 0.253
Br 0.253 0.747 0.747
Br 0.747 0.253 0.253
Br 0.747 0.253 0.747
Br 0.747 0.747 0.253

Properties
Symmetry: Fm-3m, No. 225
VASP energy, eV/f.u.: -30.79
ΔE_f (raw), eV/atom: -0.882